SCAN LaNi, PBEsol geometry; electronic total energy = -59.26 eV for the cell shown; Fermi-level density of states = 2.27 states/eV/cell; DFT formation energy = 10 meV per atom; crystal system = hexagonal; magnetic moment = 0.00 μB per formula unit
1.0
3.8408 0.0000 0.0000
-1.9204 3.3263 0.0000
0.0000 0.0000 3.6456
La Ni
1 1
Cartesian
0.0000 0.0000 0.0000
1.9204 1.1087 1.8228



SCAN SiTc4Pb, PBEsol geometry; electronic total energy = -222.03 eV for the cell shown; Fermi-level density of states = 5.61 states/eV/cell; crystal system = cubic; formation energy without anion corrections = 0.667 eV/atom; magnetic moment = 0.00 μB per formula unit
1.0
0.0000 3.6478 3.6478
3.6478 0.0000 3.6478
3.6478 3.6478 0.0000
Si Tc Pb
1 4 1
Cartesian
0.0000 0.0000 0.0000
4.5646 2.7310 2.7310
2.7310 4.5646 2.7310
2.7310 2.7310 4.5646
4.5646 4.5646 4.5646
1.8239 1.8239 1.8239



SCAN Li2In, PBEsol geometry; electronic total energy = -117.29 eV for the cell shown; Fermi-level density of states = 2.86 states/eV/cell; DFT formation energy = -310 meV per atom; crystal system = hexagonal; magnetic moment = 0.00 μB per formula unit
1.0
8.2656 0.0000 0.0000
-4.1328 7.1582 0.0000
0.0000 0.0000 2.9071
Li In
6 3
Cartesian
-1.2799 2.2168 0.0000
-2.6543 4.5974 1.4536
2.5597 0.0000 0.0000
1.4785 2.5608 1.4536
5.3087 0.0000 1.4536
2.8529 4.9414 0.0000
0.0000 0.0000 1.4536
0.0000 4.7721 0.0000
4.1328 2.3861 0.0000



SCAN KTl2Sn2, PBEsol geometry; electronic total energy = -225.59 eV for the cell shown; Fermi-level density of states = 1.45 states/eV/cell; DFT formation energy = -140 meV per atom; crystal system = tetragonal; magnetic moment = 0.00 μB per formula unit
1.0
-2.2338 2.2338 7.9708
2.2338 -2.2338 7.9708
2.2338 2.2338 -7.9708
K Tl Sn
1 2 2
Cartesian
0.0000 0.0000 0.0000
0.0000 0.0000 6.2177
0.0000 0.0000 9.7239
2.2338 0.0000 3.9854
0.0000 2.2338 3.9854



SCAN Ba9Nd2S12, PBEsol geometry; electronic total energy = -612.16 eV for the cell shown; Fermi-level density of states = 0.00 states/eV/cell; crystal system = monoclinic; formation energy without anion corrections = -2.326 eV/atom; magnetic moment = 0.00 μB per formula unit
1.0
3.8211 -6.6173 0.0000
3.8211 6.6173 0.0000
-2.5457 0.0000 14.2833
Ba Nd S
9 2 12
Cartesian
0.0000 0.0000 0.0000
1.3216 2.1222 3.7439
0.0975 0.0000 10.5428
3.8211 2.2454 0.0000
1.3216 -2.1222 3.7439
3.7748 2.1222 10.5393
3.8211 -2.2454 0.0000
4.9989 0.0000 3.7404
3.7748 -2.1222 10.5393
2.5482 4.4115 7.1416
2.5482 -4.4115 7.1416
2.5448 4.4151 1.9016
-0.2553 0.0000 5.5877
1.1479 2.4265 8.6945
2.5516 4.4151 12.3817
2.5523 0.0000 1.8017
3.9485 2.4265 5.5887
1.1479 -2.4265 8.6945
2.5441 0.0000 12.4815
2.5448 -4.4151 1.9016
3.9485 -2.4265 5.5887
5.3517 0.0000 8.6956
2.5516 -4.4151 12.3817



SCAN Na6FeO4, PBEsol geometry; electronic total energy = -167.21 eV for the cell shown; Fermi-level density of states = 4.46 states/eV/cell; crystal system = tetragonal; formation energy without anion corrections = -1.388 eV/atom; magnetic moment = 4.10 μB per formula unit
1.0
7.4637 0.0000 0.0000
0.0000 7.4637 0.0000
0.0000 0.0000 5.3304
Na Fe O
12 2 8
Cartesian
0.3239 4.0557 1.3326
0.3239 7.1398 1.3326
1.8659 1.8659 0.7147
1.8659 1.8659 3.3799
3.4080 4.0557 1.3326
3.4080 7.1398 1.3326
4.0557 0.3239 3.9978
4.0557 3.4080 3.9978
5.5978 5.5978 1.9505
5.5978 5.5978 4.6157
7.1398 0.3239 3.9978
7.1398 3.4080 3.9978
1.8659 5.5978 3.9978
5.5978 1.8659 1.3326
0.0387 5.5978 3.1678
1.8659 3.7706 4.8278
1.8659 7.4250 4.8278
3.6931 5.5978 3.1678
3.7706 1.8659 2.1626
5.5978 0.0387 0.5026
5.5978 3.6931 0.5026
7.4250 1.8659 2.1626



SCAN Cs3Li2F5, PBEsol geometry; electronic total energy = -165.16 eV for the cell shown; Fermi-level density of states = 0.00 states/eV/cell; crystal system = tetragonal; formation energy without anion corrections = -2.925 eV/atom; magnetic moment = 0.00 μB per formula unit
1.0
-2.0372 2.0372 11.0138
2.0372 -2.0372 11.0138
2.0372 2.0372 -11.0138
Cs Li F
3 2 5
Cartesian
0.0000 0.0000 0.0000
0.0000 0.0000 7.9933
0.0000 0.0000 14.0342
0.0000 0.0000 4.9169
0.0000 0.0000 17.1107
0.0000 0.0000 3.0405
2.0372 0.0000 5.5069
0.0000 0.0000 11.0138
0.0000 2.0372 5.5069
0.0000 0.0000 18.9870



SCAN BaBePd2, PBEsol geometry; electronic total energy = -222.16 eV for the cell shown; Fermi-level density of states = 1.97 states/eV/cell; DFT formation energy = -407 meV per atom; crystal system = tetragonal; magnetic moment = 0.00 μB per formula unit
1.0
-2.5656 2.5656 7.2257
2.5656 -2.5656 7.2257
2.5656 2.5656 -7.2257
Ba Be Pd
2 2 4
Cartesian
2.5656 1.2828 1.8064
0.0000 1.2828 5.4193
2.5656 -1.2828 5.4193
0.0000 3.8484 1.8064
0.0000 0.0000 0.0000
1.2828 1.2828 -3.6128
1.2828 -1.2828 3.6128
0.0000 2.5656 0.0000



SCAN Al2SbTe, PBEsol geometry; electronic total energy = -90.43 eV for the cell shown; E above lowest polymorph = 0 meV per atom; Fermi-level density of states = 0.99 states/eV/cell; crystal system = tetragonal; formation energy without anion corrections = -0.105 eV/atom; magnetic moment = 0.00 μB per formula unit
1.0
4.0651 0.0000 0.0000
0.0000 4.0651 0.0000
0.0000 0.0000 5.7145
Al Sb Te
2 1 1
Cartesian
0.0000 0.0000 0.0000
2.0326 2.0326 2.8573
0.0000 0.0000 2.8573
2.0326 2.0326 0.0000



SCAN BaTaSb3, PBEsol geometry; electronic total energy = -219.26 eV for the cell shown; Fermi-level density of states = 4.23 states/eV/cell; crystal system = cubic; formation energy without anion corrections = -0.269 eV/atom; magnetic moment = 0.00 μB per formula unit
1.0
5.3898 0.0000 0.0000
0.0000 5.3898 0.0000
0.0000 0.0000 5.3898
Ba Ta Sb
1 1 3
Cartesian
0.0000 0.0000 0.0000
2.6949 2.6949 2.6949
0.0000 2.6949 2.6949
2.6949 0.0000 2.6949
2.6949 2.6949 0.0000



SCAN CrTeW, PBEsol geometry; electronic total energy = -123.19 eV for the cell shown; E above lowest polymorph = 315 meV per atom; Fermi-level density of states = 2.75 states/eV/cell; crystal system = tetragonal; formation energy without anion corrections = 0.711 eV/atom; magnetic moment = 0.00 μB per formula unit
1.0
-1.5775 1.5775 4.7510
1.5775 -1.5775 4.7510
1.5775 1.5775 -4.7510
Cr Te W
1 1 1
Cartesian
0.0000 0.0000 0.0000
0.0000 0.0000 6.2754
0.0000 0.0000 3.2857



SCAN RbTe3H, PBEsol geometry; electronic total energy = -130.01 eV for the cell shown; Fermi-level density of states = 7.94 states/eV/cell; crystal system = cubic; magnetic moment = 6.00 μB per formula unit
1.0
6.8331 0.0000 0.0000
0.0000 6.8331 0.0000
0.0000 0.0000 6.8331
Rb Te H
1 3 1
Cartesian
0.0000 0.0000 0.0000
0.0000 0.0000 3.4166
0.0000 3.4166 0.0000
3.4166 0.0000 0.0000
3.4166 3.4166 3.4166



Please write out number 4 again, unchanged.
SCAN KTl2Sn2, PBEsol geometry; electronic total energy = -225.59 eV for the cell shown; Fermi-level density of states = 1.45 states/eV/cell; DFT formation energy = -140 meV per atom; crystal system = tetragonal; magnetic moment = 0.00 μB per formula unit
1.0
-2.2338 2.2338 7.9708
2.2338 -2.2338 7.9708
2.2338 2.2338 -7.9708
K Tl Sn
1 2 2
Cartesian
0.0000 0.0000 0.0000
0.0000 0.0000 6.2177
0.0000 0.0000 9.7239
2.2338 0.0000 3.9854
0.0000 2.2338 3.9854